#1
Entry from Alexandria: a geometry-optimized NbPd3N structure (PBE).

Total magnetization in μB per cell: 2.14

Cell: 4.8790 4.8790 4.8790 Å, 90.00 90.00 90.00°
Space group Pm-3m (No. 221)
One atom of each set of equivalent atoms:
1 Nb 0.0000 0.0000 0.0000 [1 per cell]
2 Pd 0.0000 0.0000 0.5000 [3 per cell]
3 N 0.5000 0.5000 0.5000 [1 per cell]

#2
Entry from Alexandria: a geometry-optimized NbPd3N structure (PBE).

Total magnetization in μB per cell: 2.01

Cell: 4.1975 4.1975 4.1975 Å, 90.00 90.00 90.00°
Space group Pm-3m (No. 221)
One atom of each set of equivalent atoms:
1 Nb 0.0000 0.0000 0.0000 [1 per cell]
2 Pd 0.0000 0.5000 0.5000 [3 per cell]
3 N 0.5000 0.5000 0.5000 [1 per cell]

Need the numbers? Relative energies in meV per atom: #1 1560; #2 0.

#1
Entry from Alexandria: a geometry-optimized Nb4Pd2N structure (PBE).

Total magnetization in μB per cell: 0.00

Cell: 7.3077 10.0884 3.0426 Å, 90.00 90.00 90.00°
Space group Pbam (No. 55)
One atom of each set of equivalent atoms:
1 Nb 0.1383 0.1917 0.0000 [4 per cell]
2 Nb 0.1802 0.9218 0.5000 [4 per cell]
3 Pd 0.0563 0.6257 0.5000 [4 per cell]
4 N 0.0000 0.0000 0.0000 [2 per cell]

#2
Entry from Alexandria: a geometry-optimized Nb4Pd2N structure (PBE).

Total magnetization in μB per cell: 0.00

Cell: 12.0343 12.0343 12.0343 Å, 90.00 90.00 90.00°
Space group Fd-3m (No. 227, origin choice 2)
One atom of each set of equivalent atoms:
1 Nb 0.0000 0.0000 0.0000 [16 per cell]
2 Nb 0.0528 0.3750 0.8750 [48 per cell]
3 Pd 0.0413 0.0413 0.2087 [32 per cell]
4 N 0.0000 0.0000 0.5000 [16 per cell]

Need the numbers? Relative energies in meV per atom: #1 200; #2 0.

#1
Entry from Alexandria: a geometry-optimized NbTe2PdN structure (PBE).

Total magnetization in μB per cell: 0.00

Cell: 5.5214 5.5214 3.8610 Å, 90.00 90.00 90.00°
Space group P4/mmm (No. 123)
One atom of each set of equivalent atoms:
1 Nb 0.0000 0.0000 0.0000 [1 per cell]
2 Te 0.0000 0.5000 0.0000 [2 per cell]
3 Pd 0.5000 0.5000 0.5000 [1 per cell]
4 N 0.0000 0.0000 0.5000 [1 per cell]

#2
Entry from Alexandria: a geometry-optimized NbTe2PdN structure (PBE).

Total magnetization in μB per cell: 2.46

Cell: 5.4575 5.4575 3.7033 Å, 90.00 90.00 90.00°
Space group P4/mmm (No. 123)
One atom of each set of equivalent atoms:
1 Nb 0.0000 0.0000 0.0000 [1 per cell]
2 Te 0.0000 0.5000 0.5000 [2 per cell]
3 Pd 0.5000 0.5000 0.5000 [1 per cell]
4 N 0.5000 0.5000 0.0000 [1 per cell]

Need the numbers? Relative energies in meV per atom: #1 0; #2 518.

#1
Entry from Alexandria: a geometry-optimized PrNbN structure (PBE).

Total magnetization in μB per cell: 1.54

Cell: 5.7778 3.3338 5.7267 Å, 90.00 90.14 90.00°
Space group Cm (No. 8)
One atom of each set of equivalent atoms:
1 Pr 0.0000 0.0000 0.0000 [2 per cell]
2 Nb 0.1680 0.5000 0.4724 [2 per cell]
3 N 0.3341 0.0000 0.2958 [2 per cell]

#2
Entry from Alexandria: a geometry-optimized PrNbN structure (PBE).

Total magnetization in μB per cell: 0.00

Cell: 3.0638 3.0638 12.4058 Å, 90.00 90.00 90.00°
Space group I4mm (No. 107)
One atom of each set of equivalent atoms:
1 Pr 0.0000 0.0000 0.0000 [2 per cell]
2 Nb 0.0000 0.0000 0.2958 [2 per cell]
3 N 0.0000 0.0000 0.7804 [2 per cell]

Need the numbers? Relative energies in meV per atom: #1 0; #2 191.

#1
Entry from Alexandria: a geometry-optimized Nb4Pt2N structure (PBE).

Total magnetization in μB per cell: 0.00

Cell: 4.1870 4.1870 13.4026 Å, 90.00 90.00 90.00°
Space group I4/mmm (No. 139)
One atom of each set of equivalent atoms:
1 Nb 0.0000 0.0000 0.1704 [4 per cell]
2 Nb 0.0000 0.5000 0.0000 [4 per cell]
3 Pt 0.0000 0.0000 0.3616 [4 per cell]
4 N 0.0000 0.0000 0.0000 [2 per cell]

#2
Entry from Alexandria: a geometry-optimized Nb4Pt2N structure (PBE).

Total magnetization in μB per cell: 0.00

Cell: 12.0798 12.0798 12.0798 Å, 90.00 90.00 90.00°
Space group Fd-3m (No. 227, origin choice 2)
One atom of each set of equivalent atoms:
1 Nb 0.0000 0.0000 0.0000 [16 per cell]
2 Nb 0.0529 0.3750 0.8750 [48 per cell]
3 Pt 0.0400 0.0400 0.2100 [32 per cell]
4 N 0.0000 0.0000 0.5000 [16 per cell]

Need the numbers? Relative energies in meV per atom: #1 249; #2 0.

#1
Entry from Alexandria: a geometry-optimized Sc2NbPtN structure (PBE).

Total magnetization in μB per cell: 0.00

Cell: 5.1762 5.1762 3.9179 Å, 90.00 90.00 90.00°
Space group P4/mmm (No. 123)
One atom of each set of equivalent atoms:
1 Sc 0.0000 0.5000 0.0000 [2 per cell]
2 Nb 0.0000 0.0000 0.0000 [1 per cell]
3 Pt 0.5000 0.5000 0.5000 [1 per cell]
4 N 0.0000 0.0000 0.5000 [1 per cell]

#2
Entry from Alexandria: a geometry-optimized Sc2NbPtN structure (PBE).

Total magnetization in μB per cell: 0.00

Cell: 4.3271 4.3271 4.2742 Å, 90.00 90.00 90.00°
Space group P4/mmm (No. 123)
One atom of each set of equivalent atoms:
1 Sc 0.0000 0.5000 0.0000 [2 per cell]
2 Nb 0.0000 0.0000 0.5000 [1 per cell]
3 Pt 0.5000 0.5000 0.5000 [1 per cell]
4 N 0.0000 0.0000 0.0000 [1 per cell]

Need the numbers? Relative energies in meV per atom: #1 1458; #2 0.

#1
Entry from Alexandria: a geometry-optimized NbTePtN2 structure (PBE).

Total magnetization in μB per cell: 2.59

Cell: 3.8353 3.8353 7.9597 Å, 90.00 90.00 90.00°
Space group P4/mmm (No. 123)
One atom of each set of equivalent atoms:
1 Nb 0.0000 0.0000 0.0000 [1 per cell]
2 Te 0.5000 0.5000 0.0000 [1 per cell]
3 Pt 0.5000 0.5000 0.5000 [1 per cell]
4 N 0.0000 0.5000 0.5000 [2 per cell]

#2
Entry from Alexandria: a geometry-optimized NbTePtN2 structure (PBE).

Total magnetization in μB per cell: 0.92

Cell: 3.9582 3.9582 6.1215 Å, 90.00 90.00 90.00°
Space group P4/mmm (No. 123)
One atom of each set of equivalent atoms:
1 Nb 0.0000 0.0000 0.0000 [1 per cell]
2 Te 0.0000 0.0000 0.5000 [1 per cell]
3 Pt 0.5000 0.5000 0.5000 [1 per cell]
4 N 0.0000 0.5000 0.0000 [2 per cell]

Need the numbers? Relative energies in meV per atom: #1 823; #2 0.

#1
Entry from Alexandria: a geometry-optimized NbTe2PtN structure (PBE).

Total magnetization in μB per cell: 0.00

Cell: 5.4624 5.4624 3.8497 Å, 90.00 90.00 90.00°
Space group P4/mmm (No. 123)
One atom of each set of equivalent atoms:
1 Nb 0.0000 0.0000 0.0000 [1 per cell]
2 Te 0.0000 0.5000 0.0000 [2 per cell]
3 Pt 0.5000 0.5000 0.5000 [1 per cell]
4 N 0.0000 0.0000 0.5000 [1 per cell]

#2
Entry from Alexandria: a geometry-optimized NbTe2PtN structure (PBE).

Total magnetization in μB per cell: 2.49

Cell: 5.5159 5.5159 3.6838 Å, 90.00 90.00 90.00°
Space group P4/mmm (No. 123)
One atom of each set of equivalent atoms:
1 Nb 0.0000 0.0000 0.0000 [1 per cell]
2 Te 0.0000 0.5000 0.5000 [2 per cell]
3 Pt 0.5000 0.5000 0.5000 [1 per cell]
4 N 0.5000 0.5000 0.0000 [1 per cell]

Need the numbers? Relative energies in meV per atom: #1 0; #2 214.

#1
Entry from Alexandria: a geometry-optimized RbNb3N structure (PBE).

Total magnetization in μB per cell: 0.00

Cell: 4.4786 4.4786 4.4786 Å, 90.00 90.00 90.00°
Space group Pm-3m (No. 221)
One atom of each set of equivalent atoms:
1 Rb 0.0000 0.0000 0.0000 [1 per cell]
2 Nb 0.0000 0.5000 0.5000 [3 per cell]
3 N 0.5000 0.5000 0.5000 [1 per cell]

#2
Entry from Alexandria: a geometry-optimized RbNb3N structure (PBE).

Total magnetization in μB per cell: 0.00

Cell: 4.7554 4.7554 4.7554 Å, 90.00 90.00 90.00°
Space group Pm-3m (No. 221)
One atom of each set of equivalent atoms:
1 Rb 0.0000 0.0000 0.0000 [1 per cell]
2 Nb 0.0000 0.0000 0.5000 [3 per cell]
3 N 0.5000 0.5000 0.5000 [1 per cell]

Need the numbers? Relative energies in meV per atom: #1 0; #2 2988.

#1
Entry from Alexandria: a geometry-optimized RbNbSN2 structure (PBE).

Total magnetization in μB per cell: 0.00

Cell: 4.2212 4.2212 5.7146 Å, 90.00 90.00 90.00°
Space group P4/mmm (No. 123)
One atom of each set of equivalent atoms:
1 Rb 0.0000 0.0000 0.0000 [1 per cell]
2 Nb 0.5000 0.5000 0.5000 [1 per cell]
3 S 0.0000 0.0000 0.5000 [1 per cell]
4 N 0.0000 0.5000 0.0000 [2 per cell]

#2
Entry from Alexandria: a geometry-optimized RbNbSN2 structure (PBE).

Total magnetization in μB per cell: 2.01

Cell: 4.2582 4.2582 4.9901 Å, 90.00 90.00 90.00°
Space group P4/mmm (No. 123)
One atom of each set of equivalent atoms:
1 Rb 0.0000 0.0000 0.0000 [1 per cell]
2 Nb 0.5000 0.5000 0.5000 [1 per cell]
3 S 0.5000 0.5000 0.0000 [1 per cell]
4 N 0.0000 0.5000 0.5000 [2 per cell]

Need the numbers? Relative energies in meV per atom: #1 2645; #2 0.

#1
Entry from Alexandria: a geometry-optimized RbNbS2N structure (PBE).

Total magnetization in μB per cell: 1.07

Cell: 5.0162 5.0162 4.1219 Å, 90.00 90.00 90.00°
Space group P4/mmm (No. 123)
One atom of each set of equivalent atoms:
1 Rb 0.0000 0.0000 0.0000 [1 per cell]
2 Nb 0.5000 0.5000 0.5000 [1 per cell]
3 S 0.0000 0.5000 0.5000 [2 per cell]
4 N 0.5000 0.5000 0.0000 [1 per cell]

#2
Entry from Alexandria: a geometry-optimized RbNbS2N structure (PBE).

Total magnetization in μB per cell: 0.00

Cell: 5.2069 5.2069 4.0482 Å, 90.00 90.00 90.00°
Space group P4/mmm (No. 123)
One atom of each set of equivalent atoms:
1 Rb 0.0000 0.0000 0.0000 [1 per cell]
2 Nb 0.5000 0.5000 0.5000 [1 per cell]
3 S 0.0000 0.5000 0.0000 [2 per cell]
4 N 0.0000 0.0000 0.5000 [1 per cell]

Need the numbers? Relative energies in meV per atom: #1 0; #2 2780.

#1
Entry from Alexandria: a geometry-optimized RbNbTeN2 structure (PBE).

Total magnetization in μB per cell: 1.60

Cell: 4.3359 4.3359 5.6373 Å, 90.00 90.00 90.00°
Space group P4/mmm (No. 123)
One atom of each set of equivalent atoms:
1 Rb 0.0000 0.0000 0.0000 [1 per cell]
2 Nb 0.5000 0.5000 0.5000 [1 per cell]
3 Te 0.5000 0.5000 0.0000 [1 per cell]
4 N 0.0000 0.5000 0.5000 [2 per cell]

#2
Entry from Alexandria: a geometry-optimized RbNbTeN2 structure (PBE).

Total magnetization in μB per cell: 0.00

Cell: 4.1972 4.1972 6.1696 Å, 90.00 90.00 90.00°
Space group P4/mmm (No. 123)
One atom of each set of equivalent atoms:
1 Rb 0.0000 0.0000 0.0000 [1 per cell]
2 Nb 0.5000 0.5000 0.5000 [1 per cell]
3 Te 0.0000 0.0000 0.5000 [1 per cell]
4 N 0.0000 0.5000 0.0000 [2 per cell]

Need the numbers? Relative energies in meV per atom: #1 0; #2 2395.